First-principles (GGA-PBEsol) data for crystalline ZnNi2Ir at its relaxed geometry, as listed in Alexandria via LeMat-Bulk.

Geometry as CIF:
```
data_ZnNi2Ir
_space_group_name_H-M_alt 'P 1'
_space_group_IT_number 1
_space_group_name_Hall 'P 1'
_cell_length_a 2.598
_cell_length_b 3.588
_cell_length_c 5.151
_cell_angle_alpha 90.00
_cell_angle_beta 90.00
_cell_angle_gamma 90.00
loop_
_atom_site_label
_atom_site_type_symbol
_atom_site_fract_x
_atom_site_fract_y
_atom_site_fract_z
Ni1 Ni 0.000 0.000 0.746
Ni2 Ni 0.000 0.000 0.254
Zn1 Zn 0.500 0.500 0.000
Ir1 Ir 0.500 0.500 0.500
```

Its space-group type is Pmmm, No. 47. As for the total magnetization: 0.001 μB/cell. The value obtained for the raw total energy is -6.018 eV per atom.

=====

First-principles (GGA-PBEsol) data for crystalline PtBrCl2 at its relaxed geometry, as listed in Alexandria via LeMat-Bulk.

Geometry as CIF:
```
data_PtBrCl2
_space_group_name_H-M_alt 'P 1'
_space_group_IT_number 1
_space_group_name_Hall 'P 1'
_cell_length_a 3.167
_cell_length_b 3.167
_cell_length_c 7.927
_cell_angle_alpha 90.00
_cell_angle_beta 90.00
_cell_angle_gamma 90.00
loop_
_atom_site_label
_atom_site_type_symbol
_atom_site_fract_x
_atom_site_fract_y
_atom_site_fract_z
Br1 Br 0.500 0.500 0.708
Pt1 Pt 0.000 0.000 0.504
Cl1 Cl 0.000 0.000 0.976
Cl2 Cl 0.500 0.500 0.312
```

As for the offset from the most stable computed form: 0.065 eV/atom. Its uncorrected formation energy is 53 kJ per mole of atoms. Its space-group type is P4mm, No. 99. As for the total magnetization: 0.513 μB/cell.

=====

First-principles (GGA-PBEsol) data for crystalline AgRuAu2 at its relaxed geometry, as listed in Alexandria via LeMat-Bulk.

Geometry as CIF:
```
data_AgRuAu2
_space_group_name_H-M_alt 'P 1'
_space_group_IT_number 1
_space_group_name_Hall 'P 1'
_cell_length_a 2.710
_cell_length_b 4.847
_cell_length_c 5.104
_cell_angle_alpha 98.29
_cell_angle_beta 90.00
_cell_angle_gamma 106.23
loop_
_atom_site_label
_atom_site_type_symbol
_atom_site_fract_x
_atom_site_fract_y
_atom_site_fract_z
Ag1 Ag 0.500 0.000 0.000
Au1 Au 0.745 0.490 0.745
Au2 Au 0.255 0.510 0.255
Ru1 Ru 0.000 0.000 0.500
```

Its space-group type is C2/m, No. 12. As for the total magnetization: 0.000 μB/cell. The value obtained for the raw total energy is -4.978 eV per atom.

=====

First-principles (GGA-PBEsol) data for crystalline LiMnAlO3 at its relaxed geometry, as listed in Alexandria via LeMat-Bulk.

Geometry as CIF:
```
data_LiMnAlO3
_space_group_name_H-M_alt 'P 1'
_space_group_IT_number 1
_space_group_name_Hall 'P 1'
_cell_length_a 5.459
_cell_length_b 5.273
_cell_length_c 5.888
_cell_angle_alpha 89.64
_cell_angle_beta 122.67
_cell_angle_gamma 113.79
loop_
_atom_site_label
_atom_site_type_symbol
_atom_site_fract_x
_atom_site_fract_y
_atom_site_fract_z
Li1 Li 0.319 0.075 0.571
Li2 Li 0.681 0.925 0.429
Mn1 Mn 0.667 0.423 0.261
Mn2 Mn 0.333 0.577 0.739
Al1 Al 0.007 0.756 0.920
Al2 Al 0.993 0.244 0.080
O1 O 0.012 0.755 0.618
O2 O 0.988 0.245 0.382
O3 O 0.706 0.427 0.917
O4 O 0.294 0.573 0.083
O5 O 0.286 0.071 0.218
O6 O 0.714 0.929 0.782
```

Its uncorrected formation energy is -209 kJ per mole of atoms. Its space-group type is P-1, No. 2. As for the total magnetization: 10.000 μB/cell.

=====

First-principles (GGA-PBEsol) data for crystalline Te2PtRh at its relaxed geometry, as listed in Alexandria via LeMat-Bulk.

Geometry as CIF:
```
data_Te2PtRh
_space_group_name_H-M_alt 'P 1'
_space_group_IT_number 1
_space_group_name_Hall 'P 1'
_cell_length_a 3.946
_cell_length_b 3.946
_cell_length_c 6.888
_cell_angle_alpha 73.36
_cell_angle_beta 73.36
_cell_angle_gamma 60.00
loop_
_atom_site_label
_atom_site_type_symbol
_atom_site_fract_x
_atom_site_fract_y
_atom_site_fract_z
Te1 Te 0.971 0.971 0.086
Te2 Te 0.777 0.777 0.668
Rh1 Rh 0.245 0.245 0.265
Pt1 Pt 0.506 0.506 0.481
```

As for the offset from the most stable computed form: 0.000 eV/atom. Its uncorrected formation energy is -23 kJ per mole of atoms. Its space-group type is R3m, No. 160. As for the total magnetization: 0.000 μB/cell.

=====

First-principles (GGA-PBEsol) data for crystalline Mn2ZnOs at its relaxed geometry, as listed in Alexandria via LeMat-Bulk.

Geometry as CIF:
```
data_Mn2ZnOs
_space_group_name_H-M_alt 'P 1'
_space_group_IT_number 1
_space_group_name_Hall 'P 1'
_cell_length_a 3.700
_cell_length_b 3.700
_cell_length_c 4.464
_cell_angle_alpha 114.48
_cell_angle_beta 114.48
_cell_angle_gamma 90.00
loop_
_atom_site_label
_atom_site_type_symbol
_atom_site_fract_x
_atom_site_fract_y
_atom_site_fract_z
Mn1 Mn 0.750 0.250 0.500
Mn2 Mn 0.250 0.750 0.500
Os1 Os 0.500 0.500 0.000
Zn1 Zn 0.000 0.000 0.000
```

Its space-group type is I4/mmm, No. 139. As for the total magnetization: 4.252 μB/cell. The value obtained for the raw total energy is -8.134 eV per atom.